## Pm12Pr7Cd (PBE)

Data for Pm12Pr7Cd after structural relaxation.

```
data_Pm12Pr7Cd
_chemical_formula_sum 'Pm36 Pr21 Cd3'
_cell_length_a 12.5475
_cell_length_b 12.5475
_cell_length_c 15.6376
_cell_angle_alpha 90.00
_cell_angle_beta 90.00
_cell_angle_gamma 120.00
_symmetry_space_group_name_H-M 'R -3'
_symmetry_Int_Tables_number 148
_symmetry_space_group_name_Hall '-R 3'
loop_
_atom_site_label
_atom_site_fract_x
_atom_site_fract_y
_atom_site_fract_z
Pm1 0.0331 0.8471 0.3081
Pm2 0.0710 0.2557 0.9245
Pr1 0.0000 0.0000 0.5000
Pr2 0.0136 0.5819 0.1978
Cd1 0.0000 0.0000 0.0000
```

## Properties
D(E_F) = 35.79 states/eV/f.u.
VASP energy = -4.403 eV per atom
formation energy = 0.17 eV per atom